## LuFeCuGe (PBE)

Data for a relaxed LuFeCuGe crystal.

Unit cell a=6.3927 b=6.3927 c=6.3927 alpha=90.00 beta=90.00 gamma=90.00
Sites, in units of the cell vectors:
Lu1 0.0000 0.0000 0.0000
Lu2 0.0000 0.5000 0.5000
Lu3 0.5000 0.0000 0.5000
Lu4 0.5000 0.5000 0.0000
Fe1 0.2500 0.2500 0.7500
Fe2 0.2500 0.7500 0.2500
Fe3 0.7500 0.2500 0.2500
Fe4 0.7500 0.7500 0.7500
Cu1 0.0000 0.0000 0.5000
Cu2 0.0000 0.5000 0.0000
Cu3 0.5000 0.0000 0.0000
Cu4 0.5000 0.5000 0.5000
Ge1 0.2500 0.2500 0.2500
Ge2 0.2500 0.7500 0.7500
Ge3 0.7500 0.2500 0.7500
Ge4 0.7500 0.7500 0.2500

Values from the calculation:
- space group = F-43m (216)
- ΔE to the lowest computed polymorph (eV/atom) = 0.211
- raw total energy (eV/atom) = -5.2209